1.
First-principles (GGA-PBE) data for a relaxed ScMn2PtN crystal, as listed in Alexandria via LeMat-Bulk.

Structure (POSCAR):
```
ScMn2PtN
1.0
3.950 0.000 0.000
0.000 3.950 0.000
0.000 0.000 4.320
Sc Mn Pt N
1 2 1 1
Cartesian
0.000 0.000 2.160
0.000 1.975 0.000
1.975 0.000 0.000
1.975 1.975 2.160
0.000 0.000 0.000
```

Properties
SG: P4/mmm (123)
uncorrected formation energy: -67.73 kJ/mol of atoms
energy above the most stable polymorph in this dataset: 0.00 kcal/mol of atoms
ρ: 8965 kg/m3
E_tot: -42.55 eV per cell


2.
First-principles (GGA-PBE) data for a relaxed SrCa2W crystal, as listed in Alexandria via LeMat-Bulk.

Structure (POSCAR):
```
SrCa2W
1.0
-4.551 -1.708 -3.334
-1.863 -2.904 -4.779
-1.070 -5.769 2.784
Sr Ca W
1 2 1
Cartesian
-3.837 -5.115 -2.903
-6.325 -4.699 -7.875
-5.630 -7.910 -3.926
-1.848 -2.460 -1.401
```

Properties
SG: Cm (8)
ΔH_f (0 K): 0.961 eV per atom
energy above the most stable polymorph in this dataset: 2.76 kcal/mol of atoms
ρ: 4900 kg/m3
E_tot: -14.79 eV per cell


3.
First-principles (GGA-PBE) data for a relaxed BaRuW2 crystal, as listed in Alexandria via LeMat-Bulk.

Structure (POSCAR):
```
BaRuW2
1.0
-1.860 2.179 0.583
-2.101 -1.952 0.569
2.635 -0.185 9.105
Ba Ru W
1 1 2
Cartesian
-1.322 0.068 2.852
-0.004 -0.025 7.404
2.468 -0.173 8.529
1.484 -0.104 5.129
```

Properties
SG: P4/mmm (123)
ΔH_f (0 K): 0.948 eV per atom
energy above the most stable polymorph in this dataset: 5.35 kcal/mol of atoms
ρ: 12418 kg/m3
E_tot: -33.31 eV per cell


4.
First-principles (GGA-PBE) data for a relaxed KNa2SiAu crystal, as listed in Alexandria via LeMat-Bulk.

Structure (POSCAR):
```
KNa2SiAu
1.0
-4.546 -3.280 -0.929
3.333 -3.953 -2.357
0.600 -2.040 4.269
Na K Au Si
2 1 1 1
Cartesian
1.667 -1.976 -1.178
-2.273 -1.640 -0.464
-0.306 -4.636 0.492
0.300 -1.020 2.135
0.000 0.000 0.000
```

Properties
SG: P4/mmm (123)
uncorrected formation energy: -5.76 kJ/mol of atoms
ρ: 3344 kg/m3
E_tot: -12.73 eV per cell